Entry from Alexandria via LeMat-Bulk: a geometry-optimized Pa3PtN structure (PBE).

Values from the calculation:
- space group = Pm-3m (221)
- uncorrected formation energy (eV/atom) = -0.74
- VASP energy (eV/atom) = -9.3091
- crystal system = cubic

```
Pa3PtN
1.0
4.679 0.000 0.000
0.000 4.679 0.000
0.000 0.000 4.679
Pa Pt N
3 1 1
direct
0.000 0.000 0.500
0.000 0.500 0.000
0.500 0.000 0.000
0.500 0.500 0.500
0.000 0.000 0.000
```

=====

Entry from Alexandria via LeMat-Bulk: a geometry-optimized Pa2PtN structure (PBE).

Values from the calculation:
- space group = P4/mmm (123)
- relative energy among the computed polymorphs (meV/atom) = 331
- uncorrected formation energy (eV/atom) = -0.73
- VASP energy (eV/atom) = -9.0676
- crystal system = tetragonal

```
Pa2PtN
1.0
3.064 0.000 0.000
0.000 3.064 0.000
0.000 0.000 7.303
Pa Pt N
2 1 1
direct
0.000 0.000 0.209
0.000 0.000 0.791
0.500 0.500 0.500
0.500 0.500 0.000
```

=====

Entry from Alexandria via LeMat-Bulk: a geometry-optimized PuPa2PtN5 structure (PBE).

Values from the calculation:
- space group = Cmc2_1 (36)
- uncorrected formation energy (eV/atom) = -0.94
- VASP energy (eV/atom) = -9.9380
- crystal system = orthorhombic

```
PuPa2PtN5
1.0
1.677 -6.779 0.000
1.677 6.779 0.000
0.000 0.000 10.786
Pu Pa Pt N
2 4 2 10
direct
0.185 0.815 0.500
0.815 0.185 0.000
0.129 0.871 0.190
0.131 0.869 0.793
0.869 0.131 0.293
0.871 0.129 0.690
0.499 0.501 0.987
0.501 0.499 0.487
0.033 0.967 0.598
0.300 0.700 0.160
0.301 0.699 0.825
0.339 0.661 0.528
0.488 0.512 0.295
0.512 0.488 0.795
0.661 0.339 0.028
0.699 0.301 0.325
0.700 0.300 0.660
0.967 0.033 0.098
```

=====

Entry from Alexandria via LeMat-Bulk: a geometry-optimized PuPaPtN structure (PBE).

Values from the calculation:
- space group = P4/nmm (129)
- uncorrected formation energy (eV/atom) = -0.94
- VASP energy (eV/atom) = -10.4904
- crystal system = tetragonal

```
PuPaPtN
1.0
4.074 0.000 0.000
0.000 4.074 0.000
0.000 0.000 9.374
Pu Pa Pt N
2 2 2 2
direct
0.250 0.750 0.000
0.750 0.250 0.000
0.250 0.250 0.382
0.750 0.750 0.618
0.250 0.250 0.772
0.750 0.750 0.228
0.250 0.750 0.500
0.750 0.250 0.500
```

=====

Entry from Alexandria via LeMat-Bulk: a geometry-optimized ScPa2PtN5 structure (PBE).

Values from the calculation:
- space group = Cmc2_1 (36)
- uncorrected formation energy (eV/atom) = -1.10
- VASP energy (eV/atom) = -9.2129
- crystal system = orthorhombic

```
ScPa2PtN5
1.0
1.704 -6.454 0.000
1.704 6.454 0.000
0.000 0.000 10.373
Sc Pa Pt N
2 4 2 10
direct
0.203 0.797 0.500
0.797 0.203 0.000
0.102 0.898 0.172
0.148 0.852 0.792
0.852 0.148 0.292
0.898 0.102 0.672
0.472 0.528 0.942
0.528 0.472 0.442
0.055 0.945 0.581
0.274 0.726 0.161
0.319 0.681 0.860
0.369 0.631 0.488
0.484 0.516 0.255
0.516 0.484 0.755
0.631 0.369 0.988
0.681 0.319 0.360
0.726 0.274 0.661
0.945 0.055 0.081
```

=====

Entry from Alexandria via LeMat-Bulk: a geometry-optimized Pa2PtSe2N2 structure (PBE).

Values from the calculation:
- space group = P-3m1 (164)
- uncorrected formation energy (eV/atom) = -0.90
- VASP energy (eV/atom) = -7.8546
- crystal system = trigonal

```
Pa2PtSe2N2
1.0
4.697 0.000 0.000
-2.348 4.067 0.000
0.000 0.000 8.567
Pa Pt Se N
2 1 2 2
direct
0.333 0.667 0.355
0.667 0.333 0.645
0.000 0.000 0.500
0.000 0.000 0.202
0.000 0.000 0.798
0.333 0.667 0.587
0.667 0.333 0.413
```

=====

Entry from Alexandria via LeMat-Bulk: a geometry-optimized Pa2SiPtN5 structure (PBE).

Values from the calculation:
- space group = Cmc2_1 (36)
- uncorrected formation energy (eV/atom) = -0.83
- VASP energy (eV/atom) = -8.8394
- crystal system = orthorhombic

```
Pa2SiPtN5
1.0
1.638 -6.590 0.000
1.638 6.590 0.000
0.000 0.000 10.703
Pa Si Pt N
4 2 2 10
direct
0.109 0.891 0.500
0.164 0.836 0.158
0.836 0.164 0.658
0.891 0.109 0.000
0.447 0.553 0.251
0.553 0.447 0.751
0.213 0.787 0.873
0.787 0.213 0.373
0.052 0.948 0.832
0.281 0.719 0.528
0.345 0.655 0.142
0.368 0.632 0.851
0.464 0.536 0.628
0.536 0.464 0.128
0.632 0.368 0.351
0.655 0.345 0.642
0.719 0.281 0.028
0.948 0.052 0.332
```

=====

Entry from Alexandria via LeMat-Bulk: a geometry-optimized SrPa2PtN5 structure (PBE).

Values from the calculation:
- space group = I4/mcm (140)
- uncorrected formation energy (eV/atom) = -0.94
- VASP energy (eV/atom) = -8.5372
- crystal system = tetragonal

```
SrPa2PtN5
1.0
-3.321 3.321 5.963
3.321 -3.321 5.963
3.321 3.321 -5.963
Sr Pa Pt N
2 4 2 10
direct
0.250 0.250 0.000
0.750 0.750 0.000
0.180 0.680 0.860
0.320 0.180 0.500
0.680 0.820 0.500
0.820 0.320 0.140
0.250 0.750 0.500
0.750 0.250 0.500
0.000 0.000 0.000
0.020 0.243 0.500
0.243 0.743 0.223
0.257 0.480 0.500
0.480 0.980 0.223
0.500 0.500 0.000
0.520 0.020 0.777
0.743 0.520 0.500
0.757 0.257 0.777
0.980 0.757 0.500
```

=====

Entry from Alexandria via LeMat-Bulk: a geometry-optimized Tb2PaPtN4 structure (PBE).

Values from the calculation:
- space group = Cmcm (63)
- uncorrected formation energy (eV/atom) = -1.08
- VASP energy (eV/atom) = -8.3444
- crystal system = orthorhombic

```
Tb2PaPtN4
1.0
1.705 -5.799 0.000
1.705 5.799 0.000
0.000 0.000 11.739
Tb Pa Pt N
4 2 2 8
direct
0.127 0.873 0.553
0.127 0.873 0.947
0.873 0.127 0.053
0.873 0.127 0.447
0.384 0.616 0.750
0.616 0.384 0.250
0.351 0.649 0.250
0.649 0.351 0.750
0.020 0.980 0.750
0.210 0.790 0.131
0.210 0.790 0.369
0.500 0.500 0.000
0.500 0.500 0.500
0.790 0.210 0.631
0.790 0.210 0.869
0.980 0.020 0.250
```

=====

Entry from Alexandria via LeMat-Bulk: a geometry-optimized Pa2TcPtN5 structure (PBE).

Values from the calculation:
- space group = Cmc2_1 (36)
- uncorrected formation energy (eV/atom) = -0.65
- VASP energy (eV/atom) = -9.2048
- crystal system = orthorhombic

```
Pa2TcPtN5
1.0
1.688 -6.514 0.000
1.688 6.514 0.000
0.000 0.000 10.136
Pa Tc Pt N
4 2 2 10
direct
0.095 0.905 0.500
0.157 0.843 0.127
0.843 0.157 0.627
0.905 0.095 0.000
0.213 0.787 0.859
0.787 0.213 0.359
0.471 0.529 0.262
0.529 0.471 0.762
0.067 0.933 0.892
0.273 0.727 0.475
0.320 0.680 0.184
0.376 0.624 0.829
0.477 0.523 0.575
0.523 0.477 0.075
0.624 0.376 0.329
0.680 0.320 0.684
0.727 0.273 0.975
0.933 0.067 0.392
```

=====

Entry from Alexandria via LeMat-Bulk: a geometry-optimized Th2PaPtN5 structure (PBE).

Values from the calculation:
- space group = Cmc2_1 (36)
- uncorrected formation energy (eV/atom) = -1.10
- VASP energy (eV/atom) = -9.1018
- crystal system = orthorhombic

```
Th2PaPtN5
1.0
1.793 -6.749 0.000
1.793 6.749 0.000
0.000 0.000 10.939
Th Pa Pt N
4 2 2 10
direct
0.099 0.901 0.500
0.138 0.862 0.115
0.862 0.138 0.615
0.901 0.099 0.000
0.202 0.798 0.824
0.798 0.202 0.324
0.478 0.522 0.259
0.522 0.478 0.759
0.055 0.945 0.895
0.275 0.725 0.469
0.327 0.673 0.184
0.367 0.633 0.803
0.484 0.516 0.577
0.516 0.484 0.077
0.633 0.367 0.303
0.673 0.327 0.684
0.725 0.275 0.969
0.945 0.055 0.395
```

=====

Entry from Alexandria via LeMat-Bulk: a geometry-optimized Pa2VPtN5 structure (PBE).

Values from the calculation:
- space group = Cmc2_1 (36)
- uncorrected formation energy (eV/atom) = -0.88
- VASP energy (eV/atom) = -9.3034
- crystal system = orthorhombic

```
Pa2VPtN5
1.0
1.680 -6.365 0.000
1.680 6.365 0.000
0.000 0.000 10.269
Pa V Pt N
4 2 2 10
direct
0.098 0.902 0.500
0.153 0.847 0.133
0.847 0.153 0.633
0.902 0.098 0.000
0.205 0.795 0.849
0.795 0.205 0.349
0.469 0.531 0.274
0.531 0.469 0.774
0.069 0.931 0.910
0.271 0.729 0.486
0.315 0.685 0.207
0.367 0.633 0.824
0.483 0.517 0.585
0.517 0.483 0.085
0.633 0.367 0.324
0.685 0.315 0.707
0.729 0.271 0.986
0.931 0.069 0.410
```

=====

Entry from Alexandria via LeMat-Bulk: a geometry-optimized YPa2PtN5 structure (PBE).

Values from the calculation:
- space group = Cmc2_1 (36)
- uncorrected formation energy (eV/atom) = -1.02
- VASP energy (eV/atom) = -9.1443
- crystal system = orthorhombic

```
YPa2PtN5
1.0
1.741 -6.597 0.000
1.741 6.597 0.000
0.000 0.000 10.565
Y Pa Pt N
2 4 2 10
direct
0.200 0.800 0.500
0.800 0.200 0.000
0.103 0.897 0.183
0.141 0.859 0.792
0.859 0.141 0.292
0.897 0.103 0.683
0.477 0.523 0.953
0.523 0.477 0.453
0.051 0.949 0.600
0.277 0.723 0.178
0.330 0.670 0.853
0.372 0.628 0.513
0.478 0.522 0.271
0.522 0.478 0.771
0.628 0.372 0.013
0.670 0.330 0.353
0.723 0.277 0.678
0.949 0.051 0.100
```

=====

Entry from Alexandria via LeMat-Bulk: a geometry-optimized Pa2ZnPtN5 structure (PBE).

Values from the calculation:
- space group = Cmc2_1 (36)
- uncorrected formation energy (eV/atom) = -0.62
- VASP energy (eV/atom) = -8.1643
- crystal system = orthorhombic

```
Pa2ZnPtN5
1.0
1.732 -7.102 0.000
1.732 7.102 0.000
0.000 0.000 9.356
Pa Zn Pt N
4 2 2 10
direct
0.124 0.876 0.500
0.134 0.866 0.032
0.866 0.134 0.532
0.876 0.124 0.000
0.481 0.519 0.269
0.519 0.481 0.769
0.237 0.763 0.758
0.763 0.237 0.258
0.089 0.911 0.758
0.277 0.723 0.411
0.284 0.716 0.106
0.382 0.618 0.694
0.479 0.521 0.991
0.521 0.479 0.491
0.618 0.382 0.194
0.716 0.284 0.606
0.723 0.277 0.911
0.911 0.089 0.258
```

=====

Entry from Alexandria via LeMat-Bulk: a geometry-optimized PaZnPtN structure (PBE).

Values from the calculation:
- space group = P4/nmm (129)
- uncorrected formation energy (eV/atom) = -1.10
- VASP energy (eV/atom) = -7.3888
- crystal system = tetragonal

```
PaZnPtN
1.0
3.890 0.000 0.000
0.000 3.890 0.000
0.000 0.000 8.946
Pa Zn Pt N
2 2 2 2
direct
0.250 0.250 0.134
0.750 0.750 0.866
0.250 0.750 0.500
0.750 0.250 0.500
0.250 0.250 0.692
0.750 0.750 0.308
0.250 0.750 0.000
0.750 0.250 0.000
```

=====

Entry from Alexandria via LeMat-Bulk: a geometry-optimized Pu5PaN6 structure (PBE).

Values from the calculation:
- space group = C2/m (12)
- uncorrected formation energy (eV/atom) = -1.32
- VASP energy (eV/atom) = -12.2429
- crystal system = monoclinic

```
Pu5PaN6
1.0
3.030 -5.249 0.000
3.030 5.249 0.000
-2.021 0.000 5.717
Pu Pa N
5 1 6
direct
0.000 0.000 0.000
0.166 0.834 0.500
0.331 0.669 0.000
0.669 0.331 0.000
0.834 0.166 0.500
0.500 0.500 0.500
0.091 0.418 0.254
0.256 0.256 0.747
0.418 0.091 0.254
0.582 0.909 0.746
0.744 0.744 0.253
0.909 0.582 0.746
```

=====

Entry from Alexandria via LeMat-Bulk: a geometry-optimized PuPa4N7 structure (PBE).

Values from the calculation:
- space group = Cm (8)
- uncorrected formation energy (eV/atom) = -1.49
- VASP energy (eV/atom) = -10.7081
- crystal system = monoclinic

```
PuPa4N7
1.0
5.699 -1.698 0.000
5.699 1.698 0.000
-2.723 0.000 9.116
Pu Pa N
1 4 7
direct
0.000 0.000 0.000
0.116 0.116 0.416
0.219 0.219 0.836
0.422 0.422 0.616
0.812 0.812 0.227
0.062 0.062 0.624
0.167 0.167 0.210
0.360 0.360 0.059
0.462 0.462 0.378
0.595 0.595 0.888
0.771 0.771 0.457
0.843 0.843 0.773
```

=====

Entry from Alexandria via LeMat-Bulk: a geometry-optimized Pu2PaN4 structure (PBE).

Values from the calculation:
- space group = I-42d (122)
- uncorrected formation energy (eV/atom) = -1.25
- VASP energy (eV/atom) = -11.4557
- crystal system = tetragonal

```
Pu2PaN4
1.0
-3.586 3.586 3.677
3.586 -3.586 3.677
3.586 3.586 -3.677
Pu Pa N
4 2 8
direct
0.375 0.240 0.365
0.760 0.125 0.135
0.875 0.010 0.635
0.990 0.625 0.865
0.250 0.750 0.500
0.500 0.500 0.000
0.130 0.382 0.123
0.132 0.380 0.623
0.259 0.007 0.877
0.491 0.868 0.248
0.618 0.741 0.748
0.620 0.243 0.752
0.757 0.509 0.377
0.993 0.870 0.252
```

=====

Entry from Alexandria via LeMat-Bulk: a geometry-optimized Pu5Pa3N8 structure (PBE).

Values from the calculation:
- space group = R-3m (166)
- uncorrected formation energy (eV/atom) = -1.41
- VASP energy (eV/atom) = -11.8332
- crystal system = trigonal

```
Pu5Pa3N8
1.0
3.503 2.022 5.672
-3.503 2.022 5.672
0.000 -4.045 5.672
Pu Pa N
5 3 8
direct
0.000 0.000 0.000
0.000 0.500 0.500
0.500 0.000 0.500
0.500 0.500 0.000
0.500 0.500 0.500
0.000 0.000 0.500
0.000 0.500 0.000
0.500 0.000 0.000
0.245 0.747 0.747
0.247 0.247 0.247
0.253 0.253 0.755
0.253 0.755 0.253
0.747 0.245 0.747
0.747 0.747 0.245
0.753 0.753 0.753
0.755 0.253 0.253
```